[1]
First-principles (PBE) data for crystalline Al2ReMo at its relaxed geometry, as listed in the Alexandria database.

Output
volume = 15.1 A^3/atom
total moment = 0.000 μB/cell
energy above the lowest structure with this stoichiometry = 0.70 eV per formula unit
energy relative to the elements = -133 meV/atom

Geometry as extended XYZ:
```
4
Lattice="4.793 -1.635 0.000 4.793 1.635 0.000 -1.908 0.000 3.844" Properties=species:S:1:pos:R:3 pbc="T T T"
Al 0.000 0.000 0.000
Al 0.838 0.000 2.826
Re 3.724 0.000 1.865
Mo 6.737 0.000 0.980
```

=====

[2]
First-principles (PBE) data for crystalline HfS5 at its relaxed geometry, as listed in the Alexandria database.

Output
volume = 28.5 A^3/atom
total moment = 0.000 μB/cell
raw formation energy = -0.60 eV/atom

Geometry as extended XYZ:
```
6
Lattice="3.699 0.000 0.000 0.205 6.460 0.000 1.825 1.132 7.157" Properties=species:S:1:pos:R:3 pbc="T T T"
Hf 0.000 0.000 0.000
S 1.965 0.467 1.724
S 3.674 2.593 5.903
S 3.922 7.030 5.397
S 3.252 5.103 2.241
S 3.528 4.020 0.545
```